Here is crystalline ZrCdSnH2 at its relaxed geometry from Alexandria. Energies are from PBE-GGA.

Output
DFT total energy in eV/atom: -3.41
Space-group type: No. 123
Excess energy over the best structure of this formula in the dataset in meV per atom: 910
M_tot in μB per formula unit: 1.07
D(E_F) in states/eV per atom: 0.714
Theoretical density in g/cm3: 5.276

a b c (Å): 4.111 6.040 4.111
angles (deg): 90.00 90.00 90.00
Last column: magnetic moment on the atom in μB.
Fractional coordinates of all 5 atoms:
1 H 0.000 0.000 0.500  0.00
2 H 0.500 0.000 0.000  0.00
3 Sn 0.000 0.000 0.000  0.00
4 Zr 0.000 0.500 0.000  0.53
5 Cd 0.500 0.500 0.500  0.08



Here is crystalline ZrCdSnH2 at its relaxed geometry from Alexandria. Energies are from PBE-GGA.

Output
DFT total energy in eV/atom: -4.10
Space-group type: No. 3
Excess energy over the best structure of this formula in the dataset in meV per atom: 213
M_tot in μB per formula unit: 0.00
D(E_F) in states/eV per atom: 0.276
Theoretical density in g/cm3: 6.571

a b c (Å): 3.301 6.958 3.569
angles (deg): 90.00 90.83 90.00
Fractional coordinates of all 5 atoms:
1 Zr 0.500 0.852 0.500
2 Cd 0.000 0.172 0.000
3 Sn 0.000 0.575 0.000
4 H 0.500 0.576 0.500
5 H 0.000 0.020 0.500



Question: The lowest M_tot belongs to which entry?
Answer: number 2